First-principles (GGA-PBE) data for crystalline BeCu3Pd6 at its relaxed geometry, as listed in the Alexandria database.

abc: 4.3629 7.1976 9.2976
angles: 109.67 90.00 90.00
Atoms (fractional coordinates):
Pd (0.7500, 0.8574, 0.8293)
Cu (0.7500, 0.4761, 0.6287)
Pd (0.7500, 0.7636, 0.5021)
Cu (0.7500, 0.2263, 0.0268)
Pd (0.7500, 0.9119, 0.1446)
Cu (0.2500, 0.5239, 0.3713)
Be (0.7500, 0.0366, 0.4151)
Pd (0.2500, 0.0881, 0.8554)
Pd (0.2500, 0.1426, 0.1707)
Pd (0.2500, 0.6825, 0.6622)
Cu (0.7500, 0.5988, 0.2181)
Be (0.2500, 0.9634, 0.5849)
Pd (0.2500, 0.4659, 0.0779)
Pd (0.7500, 0.5341, 0.9221)
Pd (0.2500, 0.2364, 0.4979)
Cu (0.2500, 0.4012, 0.7819)
Cu (0.2500, 0.7737, 0.9732)
Pd (0.7500, 0.3175, 0.3378)
Pd (0.7500, 0.1527, 0.6858)
Pd (0.2500, 0.8473, 0.3142)

Energy relative to the elements in kJ/mol of atoms: -17.82
Total DFT energy (no corrections) in eV/atom: -4.90
Total magnetization in μB per formula unit: 0.00
SG: P2_1/m (11)
Excess energy over the best structure of this formula in the dataset in meV/atom: 0.0
Theoretical density in Mg/m³: 10.1